# 1
First-principles (GGA-PBE) data for a geometry-optimized Y2ThSc3 structure, as listed in Alexandria via LeMat-Bulk.

Cell and atoms, written as CIF:
```
data_Y2ThSc3
_chemical_formula_sum 'Y4 Th2 Sc6'
_symmetry_space_group_name_H-M 'I m m m'
_symmetry_Int_Tables_number 71
_symmetry_space_group_name_Hall '-I 2 2'
_cell_length_a 3.252
_cell_length_b 6.246
_cell_length_c 17.222
_cell_angle_alpha 90.00
_cell_angle_beta 90.00
_cell_angle_gamma 90.00
loop_
_atom_site_label
_atom_site_fract_x
_atom_site_fract_y
_atom_site_fract_z
Y1 0.000 0.000 0.183
Th1 0.000 0.000 0.500
Sc1 0.000 0.500 0.150
Sc2 0.000 0.500 0.500
```

Output
- Formation energy: 0.403 eV/atom

# 2
First-principles (GGA-PBE) data for a geometry-optimized NaSnBi structure, as listed in Alexandria via LeMat-Bulk.

Cell and atoms, written as CIF:
```
data_NaSnBi
_chemical_formula_sum 'Na1 Sn1 Bi1'
_symmetry_space_group_name_H-M 'P -6 m 2'
_symmetry_Int_Tables_number 187
_symmetry_space_group_name_Hall 'P -6 2'
_cell_length_a 5.4693
_cell_length_b 5.4693
_cell_length_c 3.4821
_cell_angle_alpha 90.00
_cell_angle_beta 90.00
_cell_angle_gamma 120.00
loop_
_atom_site_label
_atom_site_fract_x
_atom_site_fract_y
_atom_site_fract_z
Na1 0.0000 0.0000 0.0000
Sn1 0.3333 0.6667 0.5000
Bi1 0.6667 0.3333 0.5000
```

Output
- Formation energy: -0.154 eV/atom

# 3
First-principles (GGA-PBE) data for a geometry-optimized AcAl6Pt structure, as listed in Alexandria via LeMat-Bulk.

Cell and atoms, written as CIF:
```
data_AcAl6Pt
_chemical_formula_sum 'Ac1 Al6 Pt1'
_symmetry_space_group_name_H-M 'P 4/m m m'
_symmetry_Int_Tables_number 123
_symmetry_space_group_name_Hall '-P 4 2'
_cell_length_a 4.390
_cell_length_b 4.390
_cell_length_c 8.424
_cell_angle_alpha 90.00
_cell_angle_beta 90.00
_cell_angle_gamma 90.00
loop_
_atom_site_label
_atom_site_fract_x
_atom_site_fract_y
_atom_site_fract_z
Ac1 0.000 0.000 0.000
Al1 0.000 0.500 0.337
Al2 0.500 0.500 0.152
Pt1 0.000 0.000 0.500
```

Output
- Formation energy: -0.580 eV/atom

# 4
First-principles (GGA-PBE) data for a geometry-optimized InHg6I structure, as listed in Alexandria via LeMat-Bulk.

Cell and atoms, written as CIF:
```
data_InHg6I
_chemical_formula_sum 'In2 Hg12 I2'
_symmetry_space_group_name_H-M 'C 1 2/m 1'
_symmetry_Int_Tables_number 12
_cell_length_a 14.019
_cell_length_b 7.491
_cell_length_c 5.232
_cell_angle_alpha 90.00
_cell_angle_beta 107.93
_cell_angle_gamma 90.00
loop_
_symmetry_equiv_pos_as_xyz
'x,y,z'
'-x,-y,-z'
'-x,y,-z'
'x,-y,z'
'x+1/2,y+1/2,z'
'-x+1/2,-y+1/2,-z'
'-x+1/2,y+1/2,-z'
'x+1/2,-y+1/2,z'
loop_
_atom_site_label
_atom_site_fract_x
_atom_site_fract_y
_atom_site_fract_z
In1 0.000 0.000 0.000
Hg1 0.135 0.000 0.598
Hg2 0.158 0.295 0.128
I1 0.000 0.500 0.500
```

Output
- E_form (uncorrected): -0.054 eV/atom

# 5
First-principles (GGA-PBE) data for a geometry-optimized La6CeTm structure, as listed in Alexandria via LeMat-Bulk.

Cell and atoms, written as CIF:
```
data_La6CeTm
_chemical_formula_sum 'La12 Ce2 Tm2'
_symmetry_space_group_name_H-M 'C 1 2/m 1'
_symmetry_Int_Tables_number 12
_cell_length_a 9.614
_cell_length_b 7.739
_cell_length_c 9.219
_cell_angle_alpha 90.00
_cell_angle_beta 119.49
_cell_angle_gamma 90.00
loop_
_symmetry_equiv_pos_as_xyz
'x,y,z'
'-x,-y,-z'
'-x,y,-z'
'x,-y,z'
'x+1/2,y+1/2,z'
'-x+1/2,-y+1/2,-z'
'-x+1/2,y+1/2,-z'
'x+1/2,-y+1/2,z'
loop_
_atom_site_label
_atom_site_fract_x
_atom_site_fract_y
_atom_site_fract_z
La1 0.165 0.247 0.291
La2 0.201 0.500 0.999
Ce1 0.000 0.000 0.000
Tm1 0.000 0.000 0.500
```

Output
- Formation energy: 0.310 eV/atom

# 6
First-principles (GGA-PBE) data for a geometry-optimized ScGaAg structure, as listed in Alexandria via LeMat-Bulk.

Cell and atoms, written as CIF:
```
data_ScGaAg
_chemical_formula_sum 'Sc2 Ga2 Ag2'
_symmetry_space_group_name_H-M 'I 4 m m'
_symmetry_Int_Tables_number 107
_symmetry_space_group_name_Hall 'I 4 -2'
_cell_length_a 3.195
_cell_length_b 3.195
_cell_length_c 10.917
_cell_angle_alpha 90.00
_cell_angle_beta 90.00
_cell_angle_gamma 90.00
loop_
_atom_site_label
_atom_site_fract_x
_atom_site_fract_y
_atom_site_fract_z
Sc1 0.000 0.000 0.000
Ga1 0.000 0.000 0.666
Ag1 0.000 0.000 0.317
```

Output
- Formation energy: -0.301 eV/atom

# 7
First-principles (GGA-PBE) data for a geometry-optimized TmMgMn structure, as listed in Alexandria via LeMat-Bulk.

Cell and atoms, written as CIF:
```
data_TmMgMn
_chemical_formula_sum 'Tm8 Mg8 Mn8'
_symmetry_space_group_name_H-M 'F m m m'
_symmetry_Int_Tables_number 69
_symmetry_space_group_name_Hall '-F 2 2'
_cell_length_a 4.757
_cell_length_b 5.954
_cell_length_c 19.285
_cell_angle_alpha 90.00
_cell_angle_beta 90.00
_cell_angle_gamma 90.00
loop_
_atom_site_label
_atom_site_fract_x
_atom_site_fract_y
_atom_site_fract_z
Tm1 0.000 0.000 0.098
Mg1 0.250 0.250 0.250
Mn1 0.000 0.170 0.500
```

Output
- Formation energy: 0.442 eV/atom

# 8
First-principles (GGA-PBE) data for a geometry-optimized Nd5Y4Sc2 structure, as listed in Alexandria via LeMat-Bulk.

Cell and atoms, written as CIF:
```
data_Nd5Y4Sc2
_chemical_formula_sum 'Nd5 Y4 Sc2'
_symmetry_space_group_name_H-M 'P 1 2/m 1'
_symmetry_Int_Tables_number 10
_cell_length_a 8.834
_cell_length_b 3.542
_cell_length_c 11.445
_cell_angle_alpha 90.00
_cell_angle_beta 93.83
_cell_angle_gamma 90.00
loop_
_symmetry_equiv_pos_as_xyz
'x,y,z'
'-x,-y,-z'
'-x,y,-z'
'x,-y,z'
loop_
_atom_site_label
_atom_site_fract_x
_atom_site_fract_y
_atom_site_fract_z
Nd1 0.000 0.000 0.000
Nd2 0.071 0.000 0.303
Nd3 0.311 0.000 0.836
Y1 0.235 0.500 0.554
Y2 0.338 0.500 0.121
Sc1 0.442 0.000 0.369
```

Output
- Formation energy: 0.080 eV/atom

# 9
First-principles (GGA-PBE) data for a geometry-optimized TbDyTlAg structure, as listed in Alexandria via LeMat-Bulk.

Cell and atoms, written as CIF:
```
data_TbDyTlAg
_chemical_formula_sum 'Tb4 Dy4 Tl4 Ag4'
_symmetry_space_group_name_H-M 'F -4 3 m'
_symmetry_Int_Tables_number 216
_symmetry_space_group_name_Hall 'F -4 2 3'
_cell_length_a 7.460
_cell_length_b 7.460
_cell_length_c 7.460
_cell_angle_alpha 90.00
_cell_angle_beta 90.00
_cell_angle_gamma 90.00
loop_
_atom_site_label
_atom_site_fract_x
_atom_site_fract_y
_atom_site_fract_z
Tb1 0.000 0.000 0.000
Dy1 0.000 0.000 0.500
Tl1 0.250 0.250 0.750
Ag1 0.250 0.250 0.250
```

Output
- Formation energy: -0.337 eV/atom

# 10
First-principles (GGA-PBE) data for a geometry-optimized PmPrTmSn structure, as listed in Alexandria via LeMat-Bulk.

Cell and atoms, written as CIF:
```
data_PmPrTmSn
_chemical_formula_sum 'Pm4 Pr4 Tm4 Sn4'
_symmetry_space_group_name_H-M 'F -4 3 m'
_symmetry_Int_Tables_number 216
_symmetry_space_group_name_Hall 'F -4 2 3'
_cell_length_a 7.797
_cell_length_b 7.797
_cell_length_c 7.797
_cell_angle_alpha 90.00
_cell_angle_beta 90.00
_cell_angle_gamma 90.00
loop_
_atom_site_label
_atom_site_fract_x
_atom_site_fract_y
_atom_site_fract_z
Pm1 0.000 0.000 0.000
Pr1 0.000 0.000 0.500
Tm1 0.250 0.250 0.250
Sn1 0.250 0.250 0.750
```

Output
- Formation energy: -0.261 eV/atom

# 11
First-principles (GGA-PBE) data for a geometry-optimized PuThGaCu structure, as listed in Alexandria via LeMat-Bulk.

Cell and atoms, written as CIF:
```
data_PuThGaCu
_chemical_formula_sum 'Pu4 Th4 Ga4 Cu4'
_symmetry_space_group_name_H-M 'F -4 3 m'
_symmetry_Int_Tables_number 216
_symmetry_space_group_name_Hall 'F -4 2 3'
_cell_length_a 7.182
_cell_length_b 7.182
_cell_length_c 7.182
_cell_angle_alpha 90.00
_cell_angle_beta 90.00
_cell_angle_gamma 90.00
loop_
_atom_site_label
_atom_site_fract_x
_atom_site_fract_y
_atom_site_fract_z
Pu1 0.000 0.000 0.000
Th1 0.000 0.000 0.500
Ga1 0.250 0.250 0.750
Cu1 0.250 0.250 0.250
```

Output
- Formation energy: -0.147 eV/atom

# 12
First-principles (GGA-PBE) data for a geometry-optimized HfUPa2 structure, as listed in Alexandria via LeMat-Bulk.

Cell and atoms, written as CIF:
```
data_HfUPa2
_chemical_formula_sum 'Hf1 U1 Pa2'
_symmetry_space_group_name_H-M 'P 4/m m m'
_symmetry_Int_Tables_number 123
_symmetry_space_group_name_Hall '-P 4 2'
_cell_length_a 3.497
_cell_length_b 3.497
_cell_length_c 7.559
_cell_angle_alpha 90.00
_cell_angle_beta 90.00
_cell_angle_gamma 90.00
loop_
_atom_site_label
_atom_site_fract_x
_atom_site_fract_y
_atom_site_fract_z
Hf1 0.000 0.000 0.000
U1 0.000 0.000 0.500
Pa1 0.500 0.500 0.270
```

Output
- Formation energy: 0.196 eV/atom